Material: TaBi4
Method: DFT, GGA-PBE
State: relaxed

Results
N(E_F) = 6.71 states/eV/cell
formation energy = 0.608 eV/atom
crystal system = cubic
size of the total moment = 0.00 μB/atom

Lattice parameters (Å, degrees): 5.5263 5.5263 5.5263 90.00 90.00 90.00
Closest atoms and distances in Å follow each position.
Positions (direct):
1 Ta 0.0000 0.0000 0.0000  6 Bi 2.76
2 Bi 0.0000 0.0000 0.5000  2 Ta 2.76
3 Bi 0.0000 0.5000 0.0000  2 Ta 2.76
4 Bi 0.5000 0.0000 0.0000  2 Ta 2.76
5 Bi 0.5000 0.5000 0.5000  12 Bi 3.91